The following is a GGA-PBE calculation of a relaxed structure of HfCr2S, from Alexandria.

Cell and atoms, written as POSCAR:
```
HfCr2S
1.0
7.062 0.000 0.000
0.000 7.062 0.000
3.531 3.531 2.506
Cr S Hf
4 2 2
Direct
0.535 0.125 0.250
0.215 0.625 0.250
0.375 0.465 0.750
0.875 0.785 0.750
0.500 0.500 0.000
0.250 0.750 0.500
0.000 0.000 0.000
0.750 0.250 0.500
```

Results
- Fermi-level density of states (states/eV per atom) = 0.38
- distance to the lowest polymorph of the same formula (eV/atom) = 0.000
- electronic total energy (eV/cell) = -66.2
- formation energy (no corrections) (eV per formula unit) = 0.25

The following is a GGA-PBE calculation of a relaxed structure of HfCr2SnS6, from Alexandria.

Cell and atoms, written as POSCAR:
```
HfCr2SnS6
1.0
-0.488 -2.487 5.874
0.118 -6.345 0.807
5.498 -2.772 2.769
Hf Cr Sn S
1 2 1 6
Direct
0.317 0.316 0.051
0.511 0.512 0.465
0.010 0.010 0.971
0.808 0.808 0.577
0.620 0.246 0.237
0.246 0.897 0.237
0.897 0.620 0.237
0.365 0.737 0.747
0.737 0.151 0.747
0.151 0.365 0.747
```

Results
- Fermi-level density of states (states/eV per atom) = 0.39
- electronic total energy (eV/cell) = -65.9
- formation energy (no corrections) (eV per formula unit) = -7.90

The following is a GGA-PBE calculation of a relaxed structure of HfTi2CrS6, from Alexandria.

Cell and atoms, written as POSCAR:
```
HfTi2CrS6
1.0
6.094 -0.001 -0.001
3.046 5.277 0.000
3.046 1.759 5.733
Hf Ti Cr S
1 2 1 6
Direct
0.828 0.828 0.517
0.504 0.504 0.487
0.003 0.002 0.992
0.328 0.328 0.015
0.588 0.250 0.244
0.250 0.917 0.244
0.917 0.588 0.244
0.406 0.735 0.757
0.735 0.102 0.757
0.102 0.406 0.757
```

Results
- Fermi-level density of states (states/eV per atom) = 0.63
- electronic total energy (eV/cell) = -72.3
- formation energy (no corrections) (eV per formula unit) = -12.18

The following is a GGA-PBE calculation of a relaxed structure of Hf2Tl3CrS6, from Alexandria.

Cell and atoms, written as POSCAR:
```
Hf2Tl3CrS6
1.0
-3.138 5.002 1.790
-2.691 -5.550 0.167
8.543 -0.553 5.952
Hf Tl Cr S
2 3 1 6
Direct
0.333 0.667 0.000
0.667 0.333 0.000
0.167 0.833 0.500
0.833 0.167 0.500
0.500 0.500 0.500
0.000 0.000 0.000
0.830 0.509 0.829
0.849 0.849 0.171
0.170 0.491 0.171
0.509 0.830 0.829
0.151 0.151 0.829
0.491 0.170 0.171
```

Results
- Fermi-level density of states (states/eV per atom) = 0.28
- electronic total energy (eV/cell) = -73.3
- formation energy (no corrections) (eV per formula unit) = -11.94

The following is a GGA-PBE calculation of a relaxed structure of Hf2TlCrS, from Alexandria.

Cell and atoms, written as POSCAR:
```
Hf2TlCrS
1.0
5.337 0.000 0.000
0.000 4.968 0.000
0.000 0.000 5.337
Cr Tl Hf S
1 1 2 1
Direct
0.000 0.500 0.000
0.000 0.000 0.000
0.000 0.000 0.500
0.500 0.000 0.000
0.500 0.500 0.500
```

Results
- Fermi-level density of states (states/eV per atom) = 1.16
- electronic total energy (eV/cell) = -28.6
- formation energy (no corrections) (eV per formula unit) = 7.40

The following is a GGA-PBE calculation of a relaxed structure of HfUCrS6, from Alexandria.

Cell and atoms, written as POSCAR:
```
HfUCrS6
1.0
5.934 0.000 0.000
0.000 6.191 0.000
0.000 -3.096 5.362
Hf U Cr S
1 1 1 6
Direct
0.500 0.667 0.333
0.000 0.333 0.667
0.500 0.000 0.000
0.736 0.684 0.682
0.736 0.318 0.003
0.736 0.997 0.316
0.264 0.318 0.316
0.264 0.684 0.003
0.264 0.997 0.682
```

Results
- Fermi-level density of states (states/eV per atom) = 0.70
- electronic total energy (eV/cell) = -65.2
- formation energy (no corrections) (eV per formula unit) = -9.62

The following is a GGA-PBE calculation of a relaxed structure of HfVCr2S6, from Alexandria.

Cell and atoms, written as POSCAR:
```
HfVCr2S6
1.0
-5.788 1.023 -1.841
-2.115 -2.664 -5.136
-4.376 -4.972 0.686
Hf V Cr S
1 1 2 6
Direct
0.322 0.322 0.034
0.823 0.823 0.531
0.508 0.508 0.476
0.013 0.013 0.962
0.611 0.229 0.257
0.229 0.903 0.257
0.903 0.611 0.257
0.419 0.735 0.747
0.735 0.098 0.747
0.098 0.419 0.747
```

Results
- Fermi-level density of states (states/eV per atom) = 0.40
- electronic total energy (eV/cell) = -72.4
- formation energy (no corrections) (eV per formula unit) = -9.30

The following is a GGA-PBE calculation of a relaxed structure of YHfCr2S6, from Alexandria.

Cell and atoms, written as POSCAR:
```
YHfCr2S6
1.0
6.379 -0.001 0.001
3.189 5.525 0.001
3.190 1.842 5.799
Y Hf Cr S
1 1 2 6
Direct
0.813 0.813 0.561
0.321 0.320 0.039
0.510 0.510 0.469
0.006 0.006 0.982
0.612 0.245 0.238
0.245 0.904 0.238
0.904 0.612 0.238
0.370 0.740 0.750
0.740 0.140 0.750
0.140 0.370 0.750
```

Results
- Fermi-level density of states (states/eV per atom) = 0.43
- electronic total energy (eV/cell) = -72.4
- formation energy (no corrections) (eV per formula unit) = -11.96

The following is a GGA-PBE calculation of a relaxed structure of HfZr2CrS6, from Alexandria.

Cell and atoms, written as POSCAR:
```
HfZr2CrS6
1.0
6.293 -0.001 -0.002
3.146 5.449 0.000
3.144 1.817 5.947
Hf Zr Cr S
1 2 1 6
Direct
0.829 0.829 0.512
0.506 0.507 0.481
0.007 0.007 0.978
0.328 0.329 0.015
0.585 0.237 0.250
0.237 0.929 0.250
0.928 0.585 0.250
0.426 0.724 0.759
0.724 0.090 0.759
0.091 0.426 0.759
```

Results
- Fermi-level density of states (states/eV per atom) = 0.56
- electronic total energy (eV/cell) = -74.3
- formation energy (no corrections) (eV per formula unit) = -12.88

The following is a GGA-PBE calculation of a relaxed structure of Hf2CrSb2, from Alexandria.

Cell and atoms, written as POSCAR:
```
Hf2CrSb2
1.0
-5.470 -2.204 3.521
-2.832 -2.280 -5.827
1.913 -3.837 0.571
Sb Hf Cr
4 4 2
Direct
0.348 0.848 0.000
0.848 0.652 0.000
0.652 0.152 0.000
0.152 0.348 0.000
0.160 0.660 0.500
0.660 0.840 0.500
0.840 0.340 0.500
0.340 0.160 0.500
0.000 0.000 0.000
0.500 0.500 0.000
```

Results
- Fermi-level density of states (states/eV per atom) = 1.08
- electronic total energy (eV/cell) = -75.6
- formation energy (no corrections) (eV per formula unit) = -0.05

The following is a GGA-PBE calculation of a relaxed structure of HfCr2Sb, from Alexandria.

Cell and atoms, written as POSCAR:
```
HfCr2Sb
1.0
-6.745 3.059 0.934
-2.054 -2.472 -6.737
-5.347 -2.161 -1.712
Sb Hf Cr
2 2 4
Direct
0.500 0.500 0.000
0.250 0.750 0.500
0.000 0.000 0.000
0.750 0.250 0.500
0.616 0.125 0.250
0.134 0.625 0.250
0.375 0.384 0.750
0.875 0.866 0.750
```

Results
- Fermi-level density of states (states/eV per atom) = 1.00
- electronic total energy (eV/cell) = -61.3
- formation energy (no corrections) (eV per formula unit) = 2.69

The following is a GGA-PBE calculation of a relaxed structure of HfCrSb2, from Alexandria.

Cell and atoms, written as POSCAR:
```
HfCrSb2
1.0
6.381 0.000 0.000
0.000 6.381 0.000
3.191 3.191 6.397
Sb Hf Cr
4 2 2
Direct
0.612 0.125 0.250
0.138 0.625 0.250
0.375 0.388 0.750
0.875 0.862 0.750
0.000 0.000 0.000
0.750 0.250 0.500
0.500 0.500 0.000
0.250 0.750 0.500
```

Results
- Fermi-level density of states (states/eV per atom) = 0.50
- distance to the lowest polymorph of the same formula (eV/atom) = 0.216
- electronic total energy (eV/cell) = -52.5
- formation energy (no corrections) (eV per formula unit) = 1.57

- Among the records above, which one has the highest formation energy (no corrections)?
  Hf2TlCrS